The following is a DFT calculation (PBE) of crystalline NaTl2OsS at its relaxed geometry.

Summary:
Theoretical density ... 7.17 g cm⁻³
E_form (uncorrected) ... 1.525 eV per atom

a b c (Å): 5.4789 5.4789 5.0485
angles (deg): 90.00 90.00 90.00
Closest atoms and distances in Å follow each position.
Space group P4/mmm (No. 123)
Unique sites:
Na (0.0000, 0.0000, 0.0000) [1 per cell]  2 Os 2.52, 4 Tl 2.74
Tl (0.0000, 0.5000, 0.0000) [2 per cell]  2 Na 2.74
Os (0.0000, 0.0000, 0.5000) [1 per cell]  2 Na 2.52
S (0.5000, 0.5000, 0.5000) [1 per cell]  8 Tl 3.73, 4 Os 3.87